# 1
PBE LiTaTlFe, optimized geometry; energy relative to the lowest polymorph listed for this composition = 0.464 eV per atom; final energy = -5.402 eV/atom
1.0
0.0000 3.2132 3.2132
3.2132 0.0000 3.2132
3.2132 3.2132 0.0000
Li Ta Tl Fe
1 1 1 1
Direct
0.0000 0.0000 0.0000
0.2500 0.2500 0.2500
0.5000 0.5000 0.5000
0.7500 0.7500 0.7500

=====

# 2
PBE LiZnFeTc, optimized geometry; energy relative to the lowest polymorph listed for this composition = 0.000 eV per atom; final energy = -5.406 eV/atom
1.0
0.0000 2.8868 2.8868
2.8868 0.0000 2.8868
2.8868 2.8868 0.0000
Li Zn Fe Tc
1 1 1 1
Direct
0.0000 0.0000 0.0000
0.7500 0.7500 0.7500
0.5000 0.5000 0.5000
0.2500 0.2500 0.2500

=====

# 3
PBE LiZnFeTc, optimized geometry; energy relative to the lowest polymorph listed for this composition = 0.329 eV per atom; final energy = -5.077 eV/atom
1.0
0.0000 2.9641 2.9641
2.9641 0.0000 2.9641
2.9641 2.9641 0.0000
Li Zn Fe Tc
1 1 1 1
Direct
0.0000 0.0000 0.0000
0.5000 0.5000 0.5000
0.7500 0.7500 0.7500
0.2500 0.2500 0.2500

=====

# 4
PBE Li2FeTe, optimized geometry; final energy = -3.972 eV/atom
1.0
0.0000 3.0907 3.0907
3.0907 0.0000 3.0907
3.0907 3.0907 0.0000
Li Fe Te
2 1 1
Direct
0.0000 0.0000 0.0000
0.2500 0.2500 0.2500
0.7500 0.7500 0.7500
0.5000 0.5000 0.5000

=====

# 5
PBE LiTmFeTe3, optimized geometry; energy relative to the lowest polymorph listed for this composition = 0.000 eV per atom; final energy = -4.750 eV/atom
1.0
11.2082 0.0000 0.0000
0.0000 4.1318 0.0000
0.0000 0.0000 14.2348
Li Tm Fe Te
4 4 4 12
Direct
0.2448 0.2500 0.0631
0.2552 0.7500 0.5631
0.7448 0.2500 0.4369
0.7552 0.7500 0.9369
0.0026 0.7500 0.7483
0.4974 0.2500 0.2483
0.5026 0.7500 0.7517
0.9974 0.2500 0.2517
0.2477 0.7500 0.2247
0.2523 0.2500 0.7247
0.7477 0.7500 0.2753
0.7523 0.2500 0.7753
0.0666 0.7500 0.1070
0.0738 0.2500 0.6044
0.2482 0.2500 0.3391
0.2518 0.7500 0.8391
0.4262 0.7500 0.1044
0.4334 0.2500 0.6070
0.5666 0.7500 0.3930
0.5738 0.2500 0.8956
0.7482 0.2500 0.1609
0.7518 0.7500 0.6609
0.9262 0.7500 0.3956
0.9334 0.2500 0.8930

=====

# 6
PBE LiTmFeTe3, optimized geometry; energy relative to the lowest polymorph listed for this composition = 0.003 eV per atom; final energy = -4.746 eV/atom
1.0
2.0589 -7.1027 0.0000
2.0589 7.1027 0.0000
0.0000 0.0000 11.1628
Li Tm Fe Te
2 2 2 6
Direct
0.2039 0.7961 0.7500
0.7961 0.2039 0.2500
0.0000 0.0000 0.0000
0.0000 0.0000 0.5000
0.4737 0.5263 0.2500
0.5263 0.4737 0.7500
0.0908 0.9092 0.2500
0.3552 0.6448 0.0712
0.3552 0.6448 0.4288
0.6448 0.3552 0.5712
0.6448 0.3552 0.9288
0.9092 0.0908 0.7500

=====

Which of these has the lowest final energy? number 2

=====

final energy of number 4 (Li2FeTe)? -3.972 eV/atom

=====

Number 6 is which compound? LiTmFeTe3

=====

Which value of final energy does entry 4 give? -3.972 eV/atom